Record 1
CeTmZnPt, relaxed, DFT GGA-PBE; formation energy from the elements = -0.6872 eV per atom; total energy = -5.1172 eV per atom; space-group type = F-43m, No. 216
1.0
-0.810 -1.671 -4.651
-2.273 -4.404 -0.718
-4.658 -0.144 -1.833
Zn Tm Ce Pt
1 1 1 1
Cartesian
-1.935 -1.555 -1.800
-3.870 -3.109 -3.601
0.000 0.000 0.000
-5.806 -4.664 -5.401

Record 2
CeUPt2, relaxed, DFT GGA-PBE; formation energy from the elements = -0.7531 eV per atom; total energy = -8.0790 eV per atom; space-group type = R-3m, No. 166; ΔE to the lowest computed polymorph = 0.000 eV/atom
1.0
4.089 0.000 0.000
2.044 3.541 0.000
2.044 1.180 6.731
U Ce Pt
1 1 2
Cartesian
0.000 0.000 0.000
4.089 2.361 3.365
6.133 3.541 5.146
2.044 1.180 1.584

Record 3
CeUPt2, relaxed, DFT GGA-PBE; formation energy from the elements = -0.7184 eV per atom; total energy = -8.0443 eV per atom; space-group type = P4/mmm, No. 123; ΔE to the lowest computed polymorph = 0.035 eV/atom
1.0
-1.387 -1.583 2.758
-1.973 -1.932 -2.101
5.263 -5.083 -0.270
U Ce Pt
1 1 2
Cartesian
-1.680 -1.757 0.329
0.951 -4.298 0.194
4.049 -3.910 -0.207
1.214 -1.172 -0.062

Record 4
Ce2U2Pt15, relaxed, DFT GGA-PBE; formation energy from the elements = -0.6476 eV per atom; total energy = -7.2295 eV per atom; space-group type = R-3m, No. 166
1.0
7.105 0.041 0.036
0.962 7.039 0.036
0.962 0.845 6.989
Ce U Pt
2 2 15
Cartesian
3.197 2.806 2.500
5.832 5.119 4.561
0.778 0.683 0.609
8.251 7.242 6.453
3.552 0.020 0.018
0.481 0.422 3.494
0.481 3.520 0.018
0.962 5.053 2.266
5.135 2.285 0.036
2.932 0.587 4.759
2.932 4.795 0.036
5.135 0.299 2.266
0.962 2.831 4.759
2.416 5.197 4.630
5.466 4.798 1.178
5.466 1.721 4.630
6.614 2.728 2.431
3.563 3.127 5.883
3.563 6.204 2.431

Record 5
CeUPt6, relaxed, DFT GGA-PBE; formation energy from the elements = -0.8535 eV per atom; total energy = -7.5368 eV per atom; space-group type = P4/mmm, No. 123; ΔE to the lowest computed polymorph = 0.000 eV/atom
1.0
4.169 0.000 0.000
0.000 4.169 0.000
0.000 0.000 8.342
Ce U Pt
1 1 6
Cartesian
0.000 0.000 4.171
0.000 0.000 0.000
2.084 2.084 0.000
2.084 2.084 4.171
2.084 0.000 2.064
2.084 0.000 6.278
0.000 2.084 2.064
0.000 2.084 6.278

Record 6
CeUPt6, relaxed, DFT GGA-PBE; formation energy from the elements = -0.4749 eV per atom; total energy = -7.1582 eV per atom; space-group type = R-3m, No. 166; ΔE to the lowest computed polymorph = 0.379 eV/atom
1.0
7.148 0.000 0.000
3.574 6.190 0.000
3.574 2.063 3.800
Ce U Pt
1 1 6
Cartesian
7.148 4.127 1.900
0.000 0.000 0.000
12.073 6.970 3.176
9.371 6.970 3.176
3.574 3.623 0.623
4.925 1.283 0.623
2.223 1.283 0.623
10.722 4.630 3.176

Record 7
CeVPt6, relaxed, DFT GGA-PBE; formation energy from the elements = -0.5345 eV per atom; total energy = -6.9466 eV per atom; space-group type = P4/mmm, No. 123
1.0
3.873 0.000 0.000
0.000 3.873 0.000
0.000 0.000 9.871
Ce V Pt
1 1 6
Cartesian
0.000 0.000 0.000
0.000 0.000 4.935
1.936 0.000 6.583
0.000 1.936 6.583
1.936 1.936 1.290
1.936 1.936 8.581
0.000 1.936 3.287
1.936 0.000 3.287

Record 8
CeVPt, relaxed, DFT GGA-PBE; formation energy from the elements = -0.4362 eV per atom; total energy = -7.4673 eV per atom; space-group type = I4/mmm, No. 139
1.0
3.745 0.000 0.000
0.000 3.745 0.000
-1.872 -1.872 8.421
Pt V Ce
2 2 2
Cartesian
0.000 0.000 1.929
1.872 1.872 6.493
0.000 1.872 0.000
1.872 0.000 0.000
1.872 1.872 3.082
0.000 0.000 5.339

Record 9
CeY2Pt, relaxed, DFT GGA-PBE; formation energy from the elements = -0.5420 eV per atom; total energy = -6.7677 eV per atom; space-group type = P4/mmm, No. 123; ΔE to the lowest computed polymorph = 0.081 eV/atom
1.0
3.525 0.000 0.000
0.000 3.525 0.000
0.000 0.000 8.633
Y Ce Pt
2 1 1
Cartesian
0.000 0.000 6.955
0.000 0.000 1.678
1.763 1.763 4.316
1.763 1.763 0.000

Record 10
CeY3Pt8, relaxed, DFT GGA-PBE; formation energy from the elements = -1.0872 eV per atom; total energy = -7.2249 eV per atom; space-group type = R3m, No. 160; ΔE to the lowest computed polymorph = 0.000 eV/atom
1.0
5.457 0.000 0.000
2.728 4.726 0.000
2.728 1.575 8.910
Ce Y Pt
1 3 8
Cartesian
8.185 4.726 3.347
5.457 3.151 7.792
2.728 1.575 8.882
5.457 3.151 4.472
6.821 2.363 1.663
6.819 5.515 6.135
4.092 2.363 1.663
9.552 5.515 6.135
2.728 1.575 3.901
8.185 4.726 8.357
5.457 4.726 1.663
8.185 3.148 6.135

Record 11
Ce2YPt2, relaxed, DFT GGA-PBE; formation energy from the elements = -0.7018 eV per atom; total energy = -6.7845 eV per atom; space-group type = C2/m, No. 12; ΔE to the lowest computed polymorph = 0.223 eV/atom
1.0
4.052 0.307 0.969
-0.561 4.025 0.969
0.125 0.155 7.352
Ce Y Pt
2 1 2
Cartesian
0.614 3.206 4.645
3.003 1.280 4.645
0.000 0.000 0.000
1.412 1.751 2.163
2.205 2.735 7.127

Record 12
CeY3Pt12, relaxed, DFT GGA-PBE; formation energy from the elements = -1.0028 eV per atom; total energy = -7.1163 eV per atom; space-group type = P4/mmm, No. 123
1.0
4.141 0.000 0.000
0.000 4.141 0.000
0.000 0.000 16.545
Ce Y Pt
1 3 12
Cartesian
0.000 0.000 0.000
0.000 0.000 4.172
0.000 0.000 8.272
0.000 0.000 12.373
2.071 2.071 0.000
2.071 2.071 4.154
2.071 2.071 8.272
2.071 2.071 12.391
2.071 0.000 2.069
2.071 0.000 6.216
2.071 0.000 10.328
2.071 0.000 14.476
0.000 2.071 2.069
0.000 2.071 6.216
0.000 2.071 10.328
0.000 2.071 14.476